Entry 1:
DFT (PBE) results for CrSiSb2 after structural relaxation.

Calculated values
The space-group type is No. 65. The total magnetization is 0.9483 μB per atom. Its formation energy from raw total energies is 470 meV/atom. The volume comes out at 21.2 Å³/atom.

abc: 6.2912 7.5348 3.5729
angles: 90.00 90.00 90.00
Element x y z (fractional)
Cr1 0.0000 0.0000 0.0000
Cr2 0.5000 0.5000 0.0000
Si1 0.0000 0.5000 0.0000
Si2 0.5000 0.0000 0.0000
Sb1 0.2500 0.2500 0.5000
Sb2 0.2500 0.7500 0.5000
Sb3 0.7500 0.2500 0.5000
Sb4 0.7500 0.7500 0.5000

---

Entry 2:
DFT (PBE) results for Cr2Si2Sb after structural relaxation.

Calculated values
The space-group type is No. 139. The total magnetization is 0.1162 μB per atom. Its formation energy from raw total energies is -25 meV/atom. The volume comes out at 14.7 Å³/atom.

abc: 3.4101 3.4101 12.6253
angles: 90.00 90.00 90.00
Element x y z (fractional)
Cr1 0.0000 0.0000 0.1112
Cr2 0.0000 0.0000 0.8888
Cr3 0.5000 0.5000 0.3888
Cr4 0.5000 0.5000 0.6112
Si1 0.0000 0.5000 0.2500
Si2 0.0000 0.5000 0.7500
Si3 0.5000 0.0000 0.2500
Si4 0.5000 0.0000 0.7500
Sb1 0.0000 0.0000 0.5000
Sb2 0.5000 0.5000 0.0000

---

Entry 3:
DFT (PBE) results for CrSiSb4 after structural relaxation.

Calculated values
The space-group type is No. 216. The total magnetization is 0.7679 μB per atom. Its formation energy from raw total energies is 826 meV/atom. The volume comes out at 27.2 Å³/atom.

abc: 6.1347 6.1347 6.1347
angles: 60.00 60.00 60.00
Element x y z (fractional)
Cr1 0.0000 0.0000 0.0000
Si1 0.2500 0.2500 0.2500
Sb1 0.1253 0.6249 0.6249
Sb2 0.6249 0.1253 0.6249
Sb3 0.6249 0.6249 0.1253
Sb4 0.6249 0.6249 0.6249

---

Entry 4:
DFT (PBE) results for CrSi2Sb after structural relaxation.

Calculated values
The space-group type is No. 44. The total magnetization is 0.5826 μB per atom. Its formation energy from raw total energies is 445 meV/atom. The volume comes out at 17.0 Å³/atom.

abc: 3.5298 4.8674 7.9322
angles: 90.00 90.00 90.00
Element x y z (fractional)
Cr1 0.0000 0.0000 0.0000
Cr2 0.5000 0.5000 0.5000
Si1 0.0000 0.0000 0.5500
Si2 0.0000 0.5000 0.2647
Si3 0.5000 0.0000 0.7647
Si4 0.5000 0.5000 0.0500
Sb1 0.0000 0.5000 0.7817
Sb2 0.5000 0.0000 0.2817

---

Entry 5:
DFT (PBE) results for CrSiSb2 after structural relaxation.

Calculated values
The space-group type is No. 99. The total magnetization is 0.0864 μB per atom. Its formation energy from raw total energies is 125 meV/atom. The volume comes out at 20.5 Å³/atom.

abc: 3.1766 3.1766 8.1434
angles: 90.00 90.00 90.00
Element x y z (fractional)
Cr1 0.0000 0.0000 0.0000
Si1 0.5000 0.5000 0.8856
Sb1 0.0000 0.0000 0.6507
Sb2 0.5000 0.5000 0.2309

---

Entry 6:
DFT (PBE) results for CrSi2Sb after structural relaxation.

Calculated values
The space-group type is No. 10. The total magnetization is 0.0697 μB per atom. Its formation energy from raw total energies is 401 meV/atom. The volume comes out at 17.2 Å³/atom.

abc: 3.4928 4.3158 4.6629
angles: 90.00 101.88 90.00
Element x y z (fractional)
Cr1 0.0000 0.0000 0.0000
Si1 0.0557 0.5000 0.7604
Si2 0.9443 0.5000 0.2396
Sb1 0.5000 0.0000 0.5000

---

Entry 7:
DFT (PBE) results for CrSiSbTe2 after structural relaxation.

Calculated values
The space-group type is No. 123. The total magnetization is 0.0179 μB per atom. Its formation energy from raw total energies is 1224 meV/atom. The volume comes out at 27.7 Å³/atom.

abc: 5.1745 5.1745 5.1634
angles: 90.00 90.00 90.00
Element x y z (fractional)
Cr1 0.0000 0.0000 0.0000
Si1 0.5000 0.5000 0.5000
Sb1 0.5000 0.5000 0.0000
Te1 0.0000 0.5000 0.5000
Te2 0.5000 0.0000 0.5000

---

Entry 8:
DFT (PBE) results for CrSiSb2Te after structural relaxation.

Calculated values
The space-group type is No. 123. The total magnetization is 0.4805 μB per atom. Its formation energy from raw total energies is 719 meV/atom. The volume comes out at 26.9 Å³/atom.

abc: 5.0278 5.0278 5.3147
angles: 90.00 90.00 90.00
Element x y z (fractional)
Cr1 0.0000 0.0000 0.0000
Si1 0.5000 0.5000 0.5000
Sb1 0.0000 0.5000 0.0000
Sb2 0.5000 0.0000 0.0000
Te1 0.0000 0.0000 0.5000

---

Entry 9:
DFT (PBE) results for CrSiSbTe2 after structural relaxation.

Calculated values
The space-group type is No. 123. The total magnetization is 0.5744 μB per atom. Its formation energy from raw total energies is 693 meV/atom. The volume comes out at 27.6 Å³/atom.

abc: 5.2121 5.2121 5.0876
angles: 90.00 90.00 90.00
Element x y z (fractional)
Cr1 0.0000 0.0000 0.0000
Si1 0.5000 0.5000 0.5000
Sb1 0.0000 0.0000 0.5000
Te1 0.0000 0.5000 0.0000
Te2 0.5000 0.0000 0.0000

---

Entry 10:
DFT (PBE) results for CrSiSb2Te after structural relaxation.

Calculated values
The space-group type is No. 123. The total magnetization is 0.0928 μB per atom. Its formation energy from raw total energies is 1272 meV/atom. The volume comes out at 27.6 Å³/atom.

abc: 5.1556 5.1556 5.1862
angles: 90.00 90.00 90.00
Element x y z (fractional)
Cr1 0.0000 0.0000 0.0000
Si1 0.5000 0.5000 0.5000
Sb1 0.0000 0.5000 0.5000
Sb2 0.5000 0.0000 0.5000
Te1 0.5000 0.5000 0.0000

---

Entry 11:
DFT (PBE) results for SmCrSb3 after structural relaxation.

Calculated values
The space-group type is No. 57. The total magnetization is 0.4569 μB per atom. Its formation energy from raw total energies is -456 meV/atom. The volume comes out at 24.7 Å³/atom.

abc: 12.9271 6.2550 6.0981
angles: 90.00 90.00 90.00
Element x y z (fractional)
Sm1 0.1899 0.0052 0.2500
Sm2 0.1899 0.4948 0.7500
Sm3 0.8101 0.5052 0.2500
Sm4 0.8101 0.9948 0.7500
Cr1 0.4047 0.7500 0.0000
Cr2 0.4047 0.7500 0.5000
Cr3 0.5953 0.2500 0.0000
Cr4 0.5953 0.2500 0.5000
Sb1 0.0020 0.7500 0.0000
Sb2 0.0020 0.7500 0.5000
Sb3 0.2769 0.0003 0.7500
Sb4 0.2769 0.4997 0.2500
Sb5 0.4369 0.1009 0.2500
Sb6 0.4369 0.3991 0.7500
Sb7 0.5631 0.6009 0.2500
Sb8 0.5631 0.8991 0.7500
Sb9 0.7231 0.9997 0.2500
Sb10 0.7231 0.5003 0.7500
Sb11 0.9980 0.2500 0.0000
Sb12 0.9980 0.2500 0.5000

---

Entry 12:
DFT (PBE) results for CrSnSb3 after structural relaxation.

Calculated values
The space-group type is No. 221. The total magnetization is 0.3314 μB per atom. Its formation energy from raw total energies is 396 meV/atom. The volume comes out at 26.9 Å³/atom.

abc: 5.1263 5.1263 5.1263
angles: 90.00 90.00 90.00
Element x y z (fractional)
Cr1 0.0000 0.0000 0.0000
Sn1 0.5000 0.5000 0.5000
Sb1 0.0000 0.0000 0.5000
Sb2 0.0000 0.5000 0.0000
Sb3 0.5000 0.0000 0.0000

---

Entry 13:
DFT (PBE) results for Cr3SnSb after structural relaxation.

Calculated values
The space-group type is No. 221. The total magnetization is 2.2750 μB per atom. Its formation energy from raw total energies is 1006 meV/atom. The volume comes out at 26.0 Å³/atom.

abc: 5.0646 5.0646 5.0646
angles: 90.00 90.00 90.00
Element x y z (fractional)
Cr1 0.0000 0.0000 0.5000
Cr2 0.0000 0.5000 0.0000
Cr3 0.5000 0.0000 0.0000
Sn1 0.5000 0.5000 0.5000
Sb1 0.0000 0.0000 0.0000

---

Entry 14:
DFT (PBE) results for Sr2CrSnSb after structural relaxation.

Calculated values
The space-group type is No. 123. The total magnetization is 0.6251 μB per atom. Its formation energy from raw total energies is 87 meV/atom. The volume comes out at 38.7 Å³/atom.

abc: 6.1883 6.1883 5.0590
angles: 90.00 90.00 90.00
Element x y z (fractional)
Sr1 0.0000 0.5000 0.0000
Sr2 0.5000 0.0000 0.0000
Cr1 0.0000 0.0000 0.5000
Sn1 0.0000 0.0000 0.0000
Sb1 0.5000 0.5000 0.5000

---

Entry 15:
DFT (PBE) results for CrSnSbTe2 after structural relaxation.

Calculated values
The space-group type is No. 123. The total magnetization is 0.5622 μB per atom. Its formation energy from raw total energies is 297 meV/atom. The volume comes out at 29.1 Å³/atom.

abc: 5.3307 5.3307 5.1132
angles: 90.00 90.00 90.00
Element x y z (fractional)
Cr1 0.0000 0.0000 0.0000
Sn1 0.5000 0.5000 0.5000
Sb1 0.0000 0.0000 0.5000
Te1 0.0000 0.5000 0.0000
Te2 0.5000 0.0000 0.0000

---

Entry 16:
DFT (PBE) results for YCrSnSb2 after structural relaxation.

Calculated values
The space-group type is No. 123. The total magnetization is 0.2995 μB per atom. Its formation energy from raw total energies is 154 meV/atom. The volume comes out at 26.6 Å³/atom.

abc: 5.0164 5.0164 5.2935
angles: 90.00 90.00 90.00
Element x y z (fractional)
Y1 0.0000 0.0000 0.0000
Cr1 0.0000 0.0000 0.5000
Sn1 0.5000 0.5000 0.0000
Sb1 0.0000 0.5000 0.5000
Sb2 0.5000 0.0000 0.5000

---

Entry 17:
DFT (PBE) results for SrCrSb after structural relaxation.

Calculated values
The space-group type is No. 187. The total magnetization is 1.6353 μB per atom. Its formation energy from raw total energies is -267 meV/atom. The volume comes out at 30.0 Å³/atom.

abc: 4.7225 4.7225 4.6557
angles: 90.00 90.00 120.00
Element x y z (fractional)
Sr1 0.0000 0.0000 0.0000
Cr1 0.6667 0.3333 0.5000
Sb1 0.3333 0.6667 0.5000

---

Entry 18:
DFT (PBE) results for SrCrSb2 after structural relaxation.

Calculated values
The space-group type is No. 99. The total magnetization is 0.7767 μB per atom. Its formation energy from raw total energies is -33 meV/atom. The volume comes out at 29.0 Å³/atom.

abc: 3.8739 3.8739 7.7363
angles: 90.00 90.00 90.00
Element x y z (fractional)
Sr1 0.0000 0.0000 0.0000
Cr1 0.5000 0.5000 0.3962
Sb1 0.0000 0.0000 0.4288
Sb2 0.5000 0.5000 0.7495

---

Entry 19:
DFT (PBE) results for SrCrSb2 after structural relaxation.

Calculated values
The space-group type is No. 225. The total magnetization is 0.0000 μB per atom. Its formation energy from raw total energies is 286 meV/atom. The volume comes out at 23.7 Å³/atom.

abc: 7.2418 7.2418 7.2418
angles: 90.00 90.00 90.00
Element x y z (fractional)
Sr1 0.0000 0.0000 0.0000
Sr2 0.0000 0.5000 0.5000
Sr3 0.5000 0.0000 0.5000
Sr4 0.5000 0.5000 0.0000
Cr1 0.0000 0.0000 0.5000
Cr2 0.0000 0.5000 0.0000
Cr3 0.5000 0.0000 0.0000
Cr4 0.5000 0.5000 0.5000
Sb1 0.2500 0.2500 0.2500
Sb2 0.2500 0.2500 0.7500
Sb3 0.2500 0.7500 0.2500
Sb4 0.2500 0.7500 0.7500
Sb5 0.7500 0.2500 0.2500
Sb6 0.7500 0.2500 0.7500
Sb7 0.7500 0.7500 0.2500
Sb8 0.7500 0.7500 0.7500

---

Entry 20:
DFT (PBE) results for SrCrSb after structural relaxation.

Calculated values
The space-group type is No. 107. The total magnetization is 1.2152 μB per atom. Its formation energy from raw total energies is 15 meV/atom. The volume comes out at 28.0 Å³/atom.

abc: 3.8038 3.8038 11.5996
angles: 90.00 90.00 90.00
Element x y z (fractional)
Sr1 0.0000 0.0000 0.0000
Sr2 0.5000 0.5000 0.5000
Cr1 0.0000 0.0000 0.2823
Cr2 0.5000 0.5000 0.7823
Sb1 0.0000 0.0000 0.7027
Sb2 0.5000 0.5000 0.2027

---

Entry 21:
DFT (PBE) results for SrCrSb after structural relaxation.

Calculated values
The space-group type is No. 216. The total magnetization is 1.6666 μB per atom. Its formation energy from raw total energies is 426 meV/atom. The volume comes out at 34.3 Å³/atom.

abc: 7.4372 7.4372 7.4372
angles: 90.00 90.00 90.00
Element x y z (fractional)
Sr1 0.0000 0.0000 0.0000
Sr2 0.0000 0.5000 0.5000
Sr3 0.5000 0.0000 0.5000
Sr4 0.5000 0.5000 0.0000
Cr1 0.2500 0.2500 0.2500
Cr2 0.2500 0.7500 0.7500
Cr3 0.7500 0.2500 0.7500
Cr4 0.7500 0.7500 0.2500
Sb1 0.2500 0.2500 0.7500
Sb2 0.2500 0.7500 0.2500
Sb3 0.7500 0.2500 0.2500
Sb4 0.7500 0.7500 0.7500

---

Entry 22:
DFT (PBE) results for SrCrSb2 after structural relaxation.

Calculated values
The space-group type is No. 44. The total magnetization is 0.6721 μB per atom. Its formation energy from raw total energies is -163 meV/atom. The volume comes out at 27.9 Å³/atom.

abc: 3.7069 3.8932 15.4449
angles: 90.00 90.00 90.00
Element x y z (fractional)
Sr1 0.0000 0.0000 0.0000
Sr2 0.5000 0.5000 0.5000
Cr1 0.0000 0.5000 0.7550
Cr2 0.5000 0.0000 0.2550
Sb1 0.0000 0.0000 0.6296
Sb2 0.0000 0.5000 0.3209
Sb3 0.5000 0.0000 0.8209
Sb4 0.5000 0.5000 0.1296

---

Entry 23:
DFT (PBE) results for Sr2CrSb after structural relaxation.

Calculated values
The space-group type is No. 122. The total magnetization is 0.7926 μB per atom. Its formation energy from raw total energies is 195 meV/atom. The volume comes out at 43.1 Å³/atom.

abc: 11.6462 11.6462 5.0882
angles: 90.00 90.00 90.00
Element x y z (fractional)
Sr1 0.0857 0.7500 0.1250
Sr2 0.2500 0.0857 0.8750
Sr3 0.2500 0.4143 0.3750
Sr4 0.4143 0.7500 0.6250
Sr5 0.5857 0.2500 0.6250
Sr6 0.7500 0.5857 0.3750
Sr7 0.7500 0.9143 0.8750
Sr8 0.9143 0.2500 0.1250
Cr1 0.0000 0.0000 0.0000
Cr2 0.0000 0.5000 0.2500
Cr3 0.5000 0.0000 0.7500
Cr4 0.5000 0.5000 0.5000
Sb1 0.0000 0.0000 0.5000
Sb2 0.0000 0.5000 0.7500
Sb3 0.5000 0.0000 0.2500
Sb4 0.5000 0.5000 0.0000

---

Entry 24:
DFT (PBE) results for SrCrSb2 after structural relaxation.

Calculated values
The space-group type is No. 119. The total magnetization is 0.9702 μB per atom. Its formation energy from raw total energies is -60 meV/atom. The volume comes out at 26.7 Å³/atom.

abc: 4.4825 4.4825 10.6240
angles: 90.00 90.00 90.00
Element x y z (fractional)
Sr1 0.0000 0.0000 0.0000
Sr2 0.5000 0.5000 0.5000
Cr1 0.0000 0.5000 0.7500
Cr2 0.5000 0.0000 0.2500
Sb1 0.0000 0.0000 0.5000
Sb2 0.0000 0.5000 0.2500
Sb3 0.5000 0.0000 0.7500
Sb4 0.5000 0.5000 0.0000

---

Entry 25:
DFT (PBE) results for Sr4CrSb after structural relaxation.

Calculated values
The space-group type is No. 216. The total magnetization is 0.7147 μB per atom. Its formation energy from raw total energies is 575 meV/atom. The volume comes out at 40.9 Å³/atom.

abc: 7.0295 7.0295 7.0295
angles: 60.00 60.00 60.00
Element x y z (fractional)
Sr1 0.3756 0.3756 0.3756
Sr2 0.3756 0.3756 0.8731
Sr3 0.3756 0.8731 0.3756
Sr4 0.8731 0.3756 0.3756
Cr1 0.0000 0.0000 0.0000
Sb1 0.7500 0.7500 0.7500

---

Entry 26:
DFT (PBE) results for SrCrSb3 after structural relaxation.

Calculated values
The space-group type is No. 221. The total magnetization is 0.4760 μB per atom. Its formation energy from raw total energies is -77 meV/atom. The volume comes out at 29.0 Å³/atom.

abc: 5.2548 5.2548 5.2548
angles: 90.00 90.00 90.00
Element x y z (fractional)
Sr1 0.0000 0.0000 0.0000
Cr1 0.5000 0.5000 0.5000
Sb1 0.0000 0.5000 0.5000
Sb2 0.5000 0.0000 0.5000
Sb3 0.5000 0.5000 0.0000

---

Entry 27:
DFT (PBE) results for SrCrSb2 after structural relaxation.

Calculated values
The space-group type is No. 123. The total magnetization is 1.1379 μB per atom. Its formation energy from raw total energies is -104 meV/atom. The volume comes out at 26.9 Å³/atom.

abc: 4.9232 4.9232 4.4331
angles: 90.00 90.00 90.00
Element x y z (fractional)
Sr1 0.0000 0.0000 0.0000
Cr1 0.5000 0.5000 0.0000
Sb1 0.0000 0.5000 0.5000
Sb2 0.5000 0.0000 0.5000

---

Entry 28:
DFT (PBE) results for SrCrSb2 after structural relaxation.

Calculated values
The space-group type is No. 6. The total magnetization is 0.8031 μB per atom. Its formation energy from raw total energies is -133 meV/atom. The volume comes out at 32.0 Å³/atom.

abc: 4.6821 5.2240 5.2341
angles: 90.00 90.00 90.00
Element x y z (fractional)
Sr1 0.0000 0.0000 0.0000
Cr1 0.5014 0.5000 0.5901
Sb1 0.4996 0.0000 0.5069
Sb2 0.5001 0.5000 0.0809

---

Entry 29:
DFT (PBE) results for Sr2CrSb after structural relaxation.

Calculated values
The space-group type is No. 6. The total magnetization is 1.2579 μB per atom. Its formation energy from raw total energies is -242 meV/atom. The volume comes out at 34.2 Å³/atom.

abc: 4.7174 4.7398 6.5527
angles: 90.00 111.02 90.00
Element x y z (fractional)
Sr1 0.0000 0.0000 0.0000
Sr2 0.2829 0.5000 0.5674
Cr1 0.5789 0.5000 0.1578
Sb1 0.7108 0.0000 0.4230